Record 1
DFT (PBE) results for a relaxed SrFeRu crystal.

Values from the calculation:
The calculation puts the density of states at the Fermi level at 4.783 states/eV/f.u. For the energy above the lowest structure with this stoichiometry, the calculation gives 1.088 eV/atom. The energy relative to the elements comes out at 1.371 eV/atom.

a = 5.2274 Å, b = 5.2274 Å, c = 8.5344 Å
α = 90.00°, β = 90.00°, γ = 120.00°
Last column: nearest neighbours and their distance in Å.
Element x y z (fractional)
Ru 0.0000 0.0000 0.0000  2 Fe 2.13
Ru 0.0000 0.0000 0.5000  2 Fe 2.13
Fe 0.0000 0.0000 0.2500  2 Ru 2.13
Fe 0.0000 0.0000 0.7500  2 Ru 2.13
Sr 0.3333 0.6667 0.2500  3 Fe 3.02
Sr 0.6667 0.3333 0.7500  3 Fe 3.02

---

Record 2
DFT (PBE) results for a relaxed BeGa2Br4 crystal.

Values from the calculation:
As for the uncorrected formation energy: -0.71 eV per atom. The calculation puts the density of states at the Fermi level at 0.000 states/eV/f.u.

a = 6.4125 Å, b = 6.4122 Å, c = 8.1003 Å
α = 118.86°, β = 118.86°, γ = 95.91°
Last column: nearest neighbours and their distance in Å.
Element x y z (fractional)
Be 0.0332 0.0332 0.0128  4 Br 2.17-2.26
Br 0.3842 0.3843 0.1887  1 Be 2.22
Br 0.0733 0.6806 0.8198  1 Be 2.17
Br 0.0724 0.0725 0.3198  1 Be 2.26
Br 0.6806 0.0732 0.8197  1 Be 2.17
Ga 0.6239 0.1327 0.4199  5 Br 3.01-3.36, 1 Be 3.32
Ga 0.1325 0.6238 0.4197  5 Br 3.01-3.36, 1 Be 3.32

---

Record 3
DFT (PBE) results for a relaxed Rb2LiPrF6 crystal.

Values from the calculation:
As for the uncorrected formation energy: -3.26 eV per atom. The calculation puts the density of states at the Fermi level at 0.000 states/eV/f.u.

a = 6.2805 Å, b = 6.2805 Å, c = 6.2805 Å
α = 60.00°, β = 60.00°, γ = 60.00°
Last column: nearest neighbours and their distance in Å.
Element x y z (fractional)
Rb 0.7500 0.7500 0.7500  12 F 3.14
Rb 0.2500 0.2500 0.2500  12 F 3.14
Li 0.5000 0.5000 0.5000  6 F 2.14
Pr 0.0000 0.0000 0.0000  6 F 2.30
F 0.7410 0.2590 0.2590  1 Li 2.14, 1 Pr 2.30
F 0.2590 0.2590 0.7410  1 Li 2.14, 1 Pr 2.30
F 0.2590 0.7410 0.7410  1 Li 2.14, 1 Pr 2.30
F 0.2590 0.7410 0.2590  1 Li 2.14, 1 Pr 2.30
F 0.7410 0.2590 0.7410  1 Li 2.14, 1 Pr 2.30
F 0.7410 0.7410 0.2590  1 Li 2.14, 1 Pr 2.30

---

Record 4
DFT (PBE) results for a relaxed CaHgAu2 crystal.

Values from the calculation:
The calculation puts the density of states at the Fermi level at 1.146 states/eV/f.u. The energy relative to the elements comes out at -0.425 eV/atom.

a = 3.6525 Å, b = 3.6525 Å, c = 6.6297 Å
α = 90.00°, β = 90.00°, γ = 90.00°
Last column: nearest neighbours and their distance in Å.
Element x y z (fractional)
Ca 0.0000 0.0000 0.4833  5 Au 3.07-3.15, 4 Hg 3.23
Au 0.0000 0.0000 0.0081  4 Au 2.98, 4 Hg 3.01, 1 Ca 3.15
Au 0.5000 0.5000 0.2329  4 Au 2.98, 1 Hg 3.03, 4 Ca 3.07
Hg 0.5000 0.5000 0.7758  5 Au 3.01-3.03, 4 Ca 3.23

---

Record 5
DFT (PBE) results for a relaxed SrTiNb3 crystal.

Values from the calculation:
The calculation puts the density of states at the Fermi level at 10.963 states/eV/f.u. For the energy above the lowest structure with this stoichiometry, the calculation gives 0.000 eV/atom. The energy relative to the elements comes out at 1.091 eV/atom.

a = 4.9307 Å, b = 4.9307 Å, c = 4.9307 Å
α = 90.00°, β = 90.00°, γ = 90.00°
Last column: nearest neighbours and their distance in Å.
Element x y z (fractional)
Sr 0.5000 0.5000 0.5000  12 Nb 3.49
Nb 0.0000 0.5000 0.0000  2 Ti 2.47
Nb 0.0000 0.0000 0.5000  2 Ti 2.47
Nb 0.5000 0.0000 0.0000  2 Ti 2.47
Ti 0.0000 0.0000 0.0000  6 Nb 2.47

---

Record 6
DFT (PBE) results for a relaxed ZnCoRu2 crystal.

Values from the calculation:
The calculation puts the density of states at the Fermi level at 5.337 states/eV/f.u. The energy relative to the elements comes out at 0.276 eV/atom.

a = 2.6435 Å, b = 2.6435 Å, c = 8.7479 Å
α = 90.00°, β = 90.00°, γ = 116.89°
Last column: nearest neighbours and their distance in Å.
Element x y z (fractional)
Co 0.5000 0.5000 0.7500  4 Ru 2.53, 6 Co 2.64-2.77
Ru 0.0000 0.0000 0.9928  2 Co 2.53, 2 Zn 2.64, 6 Ru 2.64-2.77
Ru 0.0000 0.0000 0.5072  2 Co 2.53, 2 Zn 2.64, 6 Ru 2.64-2.77
Zn 0.5000 0.5000 0.2500  4 Ru 2.64, 6 Zn 2.64-2.77

---

Record 7
DFT (PBE) results for a relaxed BaMnBr4 crystal.

Values from the calculation:
As for the uncorrected formation energy: -0.18 eV per atom. The calculation puts the density of states at the Fermi level at 6.508 states/eV/f.u. For the energy above the lowest structure with this stoichiometry, the calculation gives 1.297 eV/atom.

a = 6.5622 Å, b = 6.5622 Å, c = 6.5622 Å
α = 60.00°, β = 60.00°, γ = 60.00°
Last column: nearest neighbours and their distance in Å.
Element x y z (fractional)
Ba 0.0000 0.0000 0.0000  12 Br 3.85, 4 Mn 4.02
Mn 0.7500 0.7500 0.7500  12 Br 3.85, 4 Ba 4.02
Br 0.3751 0.8746 0.3751  6 Br 3.28
Br 0.8746 0.3751 0.3751  6 Br 3.28
Br 0.3751 0.3751 0.8746  6 Br 3.28
Br 0.3751 0.3751 0.3751  6 Br 3.28

---

Record 8
DFT (PBE) results for a relaxed Ta2GeRu5 crystal.

Values from the calculation:
The calculation puts the density of states at the Fermi level at 5.371 states/eV/f.u. The energy relative to the elements comes out at -0.380 eV/atom.

a = 4.1064 Å, b = 5.4438 Å, c = 10.6580 Å
α = 90.00°, β = 90.00°, γ = 90.00°
Last column: nearest neighbours and their distance in Å.
Element x y z (fractional)
Ta 0.5000 0.3305 0.3593  10 Ru 2.67-2.82
Ta 0.5000 0.6695 0.6407  10 Ru 2.67-2.82
Ta 0.5000 0.1695 0.8593  10 Ru 2.67-2.82
Ta 0.5000 0.8305 0.1407  10 Ru 2.67-2.82
Ge 0.0000 0.0000 0.5000  8 Ru 2.56-2.72
Ge 0.0000 0.5000 0.0000  8 Ru 2.56-2.72
Ru 0.5000 0.3163 0.1088  2 Ge 2.56, 4 Ta 2.67-2.82, 2 Ru 2.86
Ru 0.5000 0.6837 0.8912  2 Ge 2.56, 4 Ta 2.67-2.82, 2 Ru 2.86
Ru 0.5000 0.8163 0.3912  2 Ge 2.56, 4 Ta 2.67-2.82, 2 Ru 2.86
Ru 0.5000 0.1837 0.6088  2 Ge 2.56, 4 Ta 2.67-2.82, 2 Ru 2.86
Ru 0.0000 0.9166 0.7476  1 Ge 2.68, 4 Ta 2.71-2.74, 7 Ru 2.72-2.92
Ru 0.0000 0.0834 0.2524  1 Ge 2.68, 4 Ta 2.71-2.74, 7 Ru 2.72-2.92
Ru 0.0000 0.4166 0.7524  1 Ge 2.68, 4 Ta 2.71-2.74, 7 Ru 2.72-2.92
Ru 0.0000 0.5834 0.2476  1 Ge 2.68, 4 Ta 2.71-2.74, 7 Ru 2.72-2.92
Ru 0.0000 0.5000 0.5000  4 Ta 2.70, 2 Ge 2.72, 6 Ru 2.73-2.92
Ru 0.0000 0.0000 0.0000  4 Ta 2.70, 2 Ge 2.72, 6 Ru 2.73-2.92

---

Record 9
DFT (PBE) results for a relaxed Nd2Sm9Tm crystal.

Values from the calculation:
The calculation puts the density of states at the Fermi level at 16.024 states/eV/f.u. For the energy above the lowest structure with this stoichiometry, the calculation gives 0.036 eV/atom. The energy relative to the elements comes out at 0.054 eV/atom.

a = 3.5358 Å, b = 11.4525 Å, c = 11.4525 Å
α = 120.00°, β = 90.00°, γ = 90.00°
Last column: nearest neighbours and their distance in Å.
Element x y z (fractional)
Nd 0.0000 0.3333 0.6667  9 Sm 3.31-3.66, 2 Nd 3.54
Nd 0.0000 0.6667 0.3333  9 Sm 3.31-3.66, 2 Nd 3.54
Sm 0.0000 0.0000 0.5000  2 Nd 3.31, 2 Sm 3.54
Sm 0.0000 0.5000 0.5000  2 Nd 3.31, 2 Sm 3.54
Sm 0.0000 0.5000 0.0000  2 Nd 3.31, 2 Sm 3.54
Sm 0.5000 0.3431 0.1715  8 Sm 3.40-3.71, 2 Nd 3.66
Sm 0.5000 0.1715 0.8285  8 Sm 3.40-3.71, 2 Nd 3.66
Sm 0.5000 0.1715 0.3431  8 Sm 3.40-3.71, 2 Nd 3.66
Sm 0.5000 0.8285 0.6569  8 Sm 3.40-3.71, 2 Nd 3.66
Sm 0.5000 0.8285 0.1715  8 Sm 3.40-3.71, 2 Nd 3.66
Sm 0.5000 0.6569 0.8285  8 Sm 3.40-3.71, 2 Nd 3.66
Tm 0.0000 0.0000 0.0000  2 Tm 3.54, 12 Sm 3.83

---

Record 10
DFT (PBE) results for a relaxed KY3V crystal.

Values from the calculation:
The calculation puts the density of states at the Fermi level at 6.152 states/eV/f.u. For the energy above the lowest structure with this stoichiometry, the calculation gives 1.036 eV/atom. The energy relative to the elements comes out at 1.585 eV/atom.

a = 5.3342 Å, b = 5.3342 Å, c = 5.3342 Å
α = 90.00°, β = 90.00°, γ = 90.00°
Last column: nearest neighbours and their distance in Å.
Element x y z (fractional)
Y 0.0000 0.5000 0.0000  2 K 2.67
Y 0.0000 0.0000 0.5000  2 K 2.67
Y 0.5000 0.0000 0.0000  2 K 2.67
K 0.0000 0.0000 0.0000  6 Y 2.67
V 0.5000 0.5000 0.5000  12 Y 3.77

---

Record 11
DFT (PBE) results for a relaxed MgSiGe2F crystal.

Values from the calculation:
As for the uncorrected formation energy: -0.30 eV per atom. The calculation puts the density of states at the Fermi level at 1.914 states/eV/f.u.

a = 5.0611 Å, b = 3.6686 Å, c = 5.0611 Å
α = 90.00°, β = 90.00°, γ = 90.00°
Last column: nearest neighbours and their distance in Å.
Element x y z (fractional)
Mg 0.5000 0.5000 0.5000  8 Ge 3.13
Ge 0.0000 0.0000 0.5000  2 Si 2.53
Ge 0.5000 0.0000 0.0000  2 Si 2.53
Si 0.0000 0.0000 0.0000  2 F 1.83
F 0.0000 0.5000 0.0000  2 Si 1.83

---

Record 12
DFT (PBE) results for a relaxed Y2TlFeGe crystal.

Values from the calculation:
The calculation puts the density of states at the Fermi level at 8.412 states/eV/f.u. The energy relative to the elements comes out at 0.147 eV/atom.

a = 5.7497 Å, b = 4.5179 Å, c = 5.7497 Å
α = 90.00°, β = 90.00°, γ = 90.00°
Last column: nearest neighbours and their distance in Å.
Element x y z (fractional)
Y 0.0000 0.0000 0.5000  2 Ge 2.87
Y 0.5000 0.0000 0.0000  2 Ge 2.87
Tl 0.5000 0.5000 0.5000  8 Y 3.66, 4 Fe 4.07
Ge 0.0000 0.0000 0.0000  2 Fe 2.26
Fe 0.0000 0.5000 0.0000  2 Ge 2.26